Entry 1:
## Mg2TcGeO6 (PBE)

Data for a relaxed Mg2TcGeO6 crystal.

Cell lengths 4.7954, 5.2365, 5.2365 Å; angles 90.00, 90.00, 90.00 degrees
Last column: nearest neighbours and their distance in Å.
Atoms (fractional coordinates):
1 O 0.2321 0.0000 0.0000  1 Ge 1.74
2 O 0.7436 0.2480 0.7520  1 Ge 1.97, 1 Tc 2.03, 2 Mg 2.05
3 O 0.2133 0.5000 0.5000  1 Tc 1.75
4 O 0.7436 0.2480 0.2480  1 Ge 1.97, 1 Tc 2.03, 2 Mg 2.05
5 O 0.7436 0.7520 0.2480  1 Ge 1.97, 1 Tc 2.03, 2 Mg 2.05
6 O 0.7436 0.7520 0.7520  1 Ge 1.97, 1 Tc 2.03, 2 Mg 2.05
7 Mg 0.9274 0.5000 0.0000  4 O 2.05
8 Mg 0.9274 0.0000 0.5000  4 O 2.05
9 Ge 0.5943 0.0000 0.0000  1 O 1.74
10 Tc 0.5779 0.5000 0.5000  1 O 1.75

Symmetry: P4mm

=====

Entry 2:
## MgGe2TeO8 (PBE)

Data for a relaxed MgGe2TeO8 crystal.

Cell lengths 5.6214, 5.6214, 5.6214 Å; angles 108.19, 108.19, 112.06 degrees
Last column: nearest neighbours and their distance in Å.
Atoms (fractional coordinates):
1 O 0.5178 0.7041 0.8137  1 Ge 1.78
2 O 0.8904 0.7041 0.1863  1 Ge 1.78
3 O 0.7519 0.0572 0.6946  1 Ge 1.76
4 O 0.9428 0.6374 0.6946  1 Ge 1.76
5 O 0.2959 0.4822 0.1863  1 Ge 1.78
6 O 0.9428 0.2481 0.3054  1 Ge 1.76
7 O 0.3626 0.0572 0.3054  1 Ge 1.76
8 O 0.2959 0.1096 0.8137  1 Ge 1.78
9 Ge 0.5000 0.5000 0.0000  4 O 1.78
10 Ge 0.7500 0.2500 0.5000  4 O 1.76
11 Mg 0.2500 0.7500 0.5000  8 O 2.09-2.32
12 Te 0.0000 0.0000 0.0000  8 O 2.05-2.23

Symmetry: I-4m2

=====

Entry 3:
## ThMgGeO (PBE)

Data for a relaxed ThMgGeO crystal.

Cell lengths 4.1270, 4.1270, 8.9847 Å; angles 90.00, 90.00, 90.00 degrees
Last column: nearest neighbours and their distance in Å.
Atoms (fractional coordinates):
1 Mg 0.0000 0.0000 0.5000  4 Ge 2.72, 4 Mg 2.92
2 Mg 0.5000 0.5000 0.5000  4 Ge 2.72, 4 Mg 2.92
3 Th 0.0000 0.5000 0.8571  4 O 2.43
4 Th 0.5000 0.0000 0.1429  4 O 2.43
5 O 0.5000 0.5000 0.0000  4 Th 2.43
6 O 0.0000 0.0000 0.0000  4 Th 2.43
7 Ge 0.5000 0.0000 0.6978  4 Mg 2.72
8 Ge 0.0000 0.5000 0.3022  4 Mg 2.72

Symmetry: P4/nmm

=====

Entry 4:
## MgTiGe2O6 (PBE)

Data for a relaxed MgTiGe2O6 crystal.

Cell lengths 8.6277, 5.3418, 12.1648 Å; angles 80.44, 90.00, 90.00 degrees
Last column: nearest neighbours and their distance in Å.
Atoms (fractional coordinates):
1 Mg 0.5365 0.1570 0.2703  4 O 2.02-2.20
2 Mg 0.4635 0.8430 0.7297  4 O 2.02-2.20
3 Mg 0.0365 0.3430 0.7297  4 O 2.02-2.20
4 Mg 0.9635 0.6570 0.2703  4 O 2.02-2.20
5 Ti 0.1540 0.1527 0.2832  4 O 1.81-1.98
6 Ti 0.8460 0.8473 0.7168  4 O 1.81-1.98
7 Ti 0.6540 0.3473 0.7168  4 O 1.81-1.98
8 Ti 0.3460 0.6527 0.2832  4 O 1.81-1.98
9 Ge 0.1519 0.7416 0.5312  4 O 1.73-1.81
10 Ge 0.8481 0.2584 0.4688  4 O 1.73-1.81
11 Ge 0.3489 0.2868 0.9037  3 O 1.93-1.99
12 Ge 0.6511 0.7132 0.0963  3 O 1.93-1.99
13 Ge 0.1511 0.7868 0.9037  3 O 1.93-1.99
14 Ge 0.8489 0.2132 0.0963  3 O 1.93-1.99
15 Ge 0.3481 0.2416 0.5312  4 O 1.73-1.81
16 Ge 0.6519 0.7584 0.4688  4 O 1.73-1.81
17 O 0.3492 0.2788 0.3853  1 Ge 1.75
18 O 0.1689 0.4955 0.2221  2 Ti 1.86-1.95
19 O 0.3171 0.0005 0.8279  2 Ge 1.93-1.96, 1 Mg 2.02
20 O 0.0267 0.2447 0.4059  1 Ge 1.73
21 O 0.9733 0.7553 0.5941  1 Ge 1.73
22 O 0.5014 0.5327 0.2063  1 Ti 1.81, 1 Ge 1.99
23 O 0.5267 0.2553 0.5941  1 Ge 1.73
24 O 0.8492 0.2212 0.6147  1 Ge 1.75
25 O 0.2021 0.4185 0.5904  2 Ge 1.80-1.81
26 O 0.7979 0.5815 0.4096  2 Ge 1.80-1.81
27 O 0.8311 0.5045 0.7779  2 Ti 1.86-1.95
28 O 0.7021 0.0815 0.4096  2 Ge 1.80-1.81
29 O 0.1508 0.7788 0.3853  1 Ge 1.75
30 O 0.1829 0.5005 0.8279  2 Ge 1.93-1.96, 1 Mg 2.02
31 O 0.9986 0.0327 0.2063  1 Ti 1.81, 1 Ge 1.99
32 O 0.4733 0.7447 0.4059  1 Ge 1.73
33 O 0.6829 0.9995 0.1721  2 Ge 1.93-1.96, 1 Mg 2.02
34 O 0.0014 0.9673 0.7937  1 Ti 1.81, 1 Ge 1.99
35 O 0.2979 0.9185 0.5904  2 Ge 1.80-1.81
36 O 0.3311 0.9955 0.2221  2 Ti 1.86-1.95
37 O 0.4986 0.4673 0.7937  1 Ti 1.81, 1 Ge 1.99
38 O 0.6689 0.0045 0.7779  2 Ti 1.86-1.95
39 O 0.8171 0.4995 0.1721  2 Ge 1.93-1.96, 1 Mg 2.02
40 O 0.6508 0.7212 0.6147  1 Ge 1.75

Symmetry: P2_1/c
Energy relative to the lowest polymorph listed for this composition: 0 meV/atom

=====

Number 1: volume 13.15 Å³/atom, E_form (uncorrected) -1634.6 meV/atom. Number 2: volume 11.38 Å³/atom, E_form (uncorrected) -1349.7 meV/atom. Number 3: volume 19.13 Å³/atom, E_form (uncorrected) -1738.5 meV/atom. Number 4: volume 13.82 Å³/atom, E_form (uncorrected) -2166.8 meV/atom.